The following is a DFT calculation (PBE) of crystalline HPd3Pt at its relaxed geometry.

Properties
**Energy**: -4.946 eV per atom

POSCAR file:
```
HPd3Pt
1.0
4.819 0.000 0.000
2.409 4.195 0.000
0.109 0.106 6.820
H Pd Pt
2 6 2
Direct
0.000 0.000 0.000
0.032 0.275 0.723
0.021 0.298 0.461
0.024 0.639 0.118
0.351 0.642 0.462
0.357 0.972 0.120
0.374 0.301 0.789
0.691 0.645 0.790
0.685 0.311 0.122
0.691 0.971 0.459
```